1.
The following is a GGA-PBE calculation of an optimized crystal structure of Sc8Zn2Ga, from the Alexandria database.

Cell: 8.0820 8.0820 8.0820 Å, 147.03 123.58 66.91°
With the nearest neighbours (Å) after each atom.
Element x y z (fractional)
Sc (0.1179, 0.3372, 0.7807)  3 Zn 2.87, 1 Ga 3.07, 5 Sc 3.16-3.18
Sc (0.1366, 0.1366, 0.0000)  2 Ga 2.94, 8 Sc 3.02-3.18, 2 Zn 3.22
Sc (0.3132, 0.0000, 0.3132)  7 Sc 2.85-3.18, 2 Zn 3.00
Sc (0.4435, 0.6628, 0.7807)  3 Zn 2.87, 1 Ga 3.07, 5 Sc 3.16-3.18
Sc (0.5565, 0.3372, 0.2193)  3 Zn 2.87, 1 Ga 3.07, 5 Sc 3.16-3.18
Sc (0.6868, 0.0000, 0.6868)  7 Sc 2.85-3.18, 2 Zn 3.00
Sc (0.8634, 0.8634, 0.0000)  2 Ga 2.94, 8 Sc 3.02-3.18, 2 Zn 3.22
Sc (0.8821, 0.6628, 0.2193)  3 Zn 2.87, 1 Ga 3.07, 5 Sc 3.16-3.18
Zn (0.3041, 0.8041, 0.5000)  8 Sc 2.87-3.00
Zn (0.6959, 0.1959, 0.5000)  8 Sc 2.87-3.00
Ga (0.0000, 0.5000, 0.5000)  8 Sc 2.94-3.07

Properties
**Total magnetic moment**: 1.19 μB per cell
**Calculated formation energy**: -16.8 kJ per mole of atoms
**SG**: Immm, No. 71

---

2.
The following is a GGA-PBE calculation of an optimized crystal structure of CeSm6Se8, from the Alexandria database.

Cell: 8.3301 8.3301 8.3301 Å, 60.00 60.00 60.00°
With the nearest neighbours (Å) after each atom.
Element x y z (fractional)
Ce (0.0000, 0.0000, 0.0000)  6 Se 3.00
Sm (0.0000, 0.0000, 0.5000)  6 Se 2.95
Sm (0.0000, 0.5000, 0.0000)  6 Se 2.95
Sm (0.0000, 0.5000, 0.5000)  6 Se 2.95
Sm (0.5000, 0.0000, 0.0000)  6 Se 2.95
Sm (0.5000, 0.0000, 0.5000)  6 Se 2.95
Sm (0.5000, 0.5000, 0.0000)  6 Se 2.95
Se (0.2500, 0.2500, 0.2500)  6 Sm 2.95
Se (0.2548, 0.2548, 0.7452)  4 Sm 2.95, 1 Ce 3.00
Se (0.2548, 0.7452, 0.2548)  4 Sm 2.95, 1 Ce 3.00
Se (0.2548, 0.7452, 0.7452)  4 Sm 2.95, 1 Ce 3.00
Se (0.7452, 0.2548, 0.2548)  4 Sm 2.95, 1 Ce 3.00
Se (0.7452, 0.2548, 0.7452)  4 Sm 2.95, 1 Ce 3.00
Se (0.7452, 0.7452, 0.2548)  4 Sm 2.95, 1 Ce 3.00
Se (0.7500, 0.7500, 0.7500)  6 Sm 2.95

Properties
**Total magnetic moment**: 1.49 μB per cell
**Formation energy from raw total energies**: -1.846 eV per atom
**SG**: Fm-3m, No. 225

---

Q: The highest total magnetic moment belongs to which entry?
A: CeSm6Se8